*one*
Compound: LaTlTe
Source: Alexandria via LeMat-Bulk
Functional: PBE
Structure: relaxed

abc: 5.374 5.374 5.374
angles: 60.00 60.00 60.00
Positions (direct):
1 Tl 0.500 0.500 0.500
2 La 0.750 0.750 0.750
3 Te 0.000 0.000 0.000

DOS at the Fermi energy (states/eV per cell): 3.113

*two*
Compound: LaTlTe
Source: Alexandria via LeMat-Bulk
Functional: PBE
Structure: relaxed

abc: 6.464 6.465 4.201
angles: 71.04 71.04 37.92
Positions (direct):
1 Tl 0.653 0.653 0.347
2 La 0.980 0.980 0.020
3 Te 0.367 0.367 0.633

DOS at the Fermi energy (states/eV per cell): 3.024

*three*
Compound: LaTlTe
Source: Alexandria via LeMat-Bulk
Functional: PBE
Structure: relaxed

abc: 5.278 5.278 3.956
angles: 90.00 90.00 120.00
Positions (direct):
1 Tl 0.333 0.667 0.549
2 La 0.000 0.000 0.994
3 Te 0.667 0.333 0.457

DOS at the Fermi energy (states/eV per cell): 1.976

Stability, highest: *two*

*one*
Compound: LaTlTe
Source: Alexandria via LeMat-Bulk
Functional: PBE
Structure: relaxed

abc: 5.399 5.399 8.894
angles: 72.33 72.33 60.00
Positions (direct):
1 La 0.416 0.416 0.753
2 La 0.584 0.584 0.247
3 Tl 0.848 0.848 0.456
4 Tl 0.152 0.152 0.544
5 Te 0.283 0.283 0.150
6 Te 0.717 0.717 0.850

DOS at the Fermi energy (states/eV per cell): 3.227

*two*
Compound: LaTlTe
Source: Alexandria via LeMat-Bulk
Functional: PBE
Structure: relaxed

abc: 5.353 5.353 5.353
angles: 60.00 60.00 60.00
Positions (direct):
1 Tl 0.000 0.000 0.000
2 La 0.500 0.500 0.500
3 Te 0.750 0.750 0.750

DOS at the Fermi energy (states/eV per cell): 2.013

Stability, highest: *one*

*one*
Compound: LaTmTe2
Source: Alexandria via LeMat-Bulk
Functional: PBE
Structure: relaxed

abc: 4.266 7.758 7.614
angles: 90.00 90.00 90.00
Positions (direct):
1 Te 0.000 0.250 0.691
2 Te 0.500 0.750 0.846
3 Te 0.500 0.250 0.154
4 Te 0.000 0.750 0.309
5 Tm 0.000 0.000 0.000
6 Tm 0.000 0.500 0.000
7 La 0.500 0.500 0.500
8 La 0.500 0.000 0.500

DOS at the Fermi energy (states/eV per cell): 4.495

*two*
Compound: LaTmTe2
Source: Alexandria via LeMat-Bulk
Functional: PBE
Structure: relaxed

abc: 5.434 5.434 5.434
angles: 60.00 60.00 60.00
Site moments in Bohr magnetons follow the coordinates.
Positions (direct):
1 Tm 0.500 0.500 0.500  0.28
2 Te 0.250 0.250 0.250  -0.01
3 Te 0.750 0.750 0.750  -0.01
4 La 0.000 0.000 0.000  0.17

DOS at the Fermi energy (states/eV per cell): 3.241

*three*
Compound: LaTmTe2
Source: Alexandria via LeMat-Bulk
Functional: PBE
Structure: relaxed

abc: 4.374 4.374 7.887
angles: 73.90 73.90 60.00
Positions (direct):
1 La 0.500 0.500 0.500
2 Te 0.743 0.743 0.772
3 Te 0.257 0.257 0.228
4 Tm 0.000 0.000 0.000

DOS at the Fermi energy (states/eV per cell): 2.289

*four*
Compound: LaTmTe2
Source: Alexandria via LeMat-Bulk
Functional: PBE
Structure: relaxed

abc: 3.872 5.412 5.412
angles: 90.00 90.00 90.00
Site moments in Bohr magnetons follow the coordinates.
Positions (direct):
1 Tm 0.500 0.000 0.000  0.05
2 Te 0.000 0.000 0.500  0.00
3 Te 0.000 0.500 0.000  0.00
4 La 0.500 0.500 0.500  0.02

DOS at the Fermi energy (states/eV per cell): 3.696

Stability, highest: *three*